{"formula": "Ag3PSe2F6", "functional": "GGA-PBE", "state": "optimized geometry", "lattice": [[-1.9020, -1.3655, -3.4323], [5.2720, -3.8273, -1.3989], [-5.7244, -3.5309, 3.9561]], "species": ["P", "Ag", "Ag", "Ag", "F", "F", "F", "F", "F", "F", "Se", "Se"], "frac_coords": [[0.5000, 0.0000, 0.0000], [0.0000, 0.5000, 0.0000], [0.5000, 0.0000, 0.5000], [0.5000, 0.5000, 0.5000], [0.7725, 0.9125, 0.8249], [0.3081, 0.1211, 0.8904], [0.3081, 0.7693, 0.8904], [0.2275, 0.0875, 0.1751], [0.6919, 0.8789, 0.1096], [0.6919, 0.2307, 0.1096], [0.0284, 0.6908, 0.3817], [0.9716, 0.3092, 0.6183]], "sg": "C2/m", "formation_energy_uncorrected_ev_per_atom": -1.42, "m_tot_mub_per_fu": 0.00, "total_energy_ev_per_atom": -4.103}

{"formula": "Ag5PSe4F2", "functional": "GGA-PBE", "state": "optimized geometry", "lattice": [[6.0300, 0.0000, 0.0000], [-3.0150, 5.8240, 0.0000], [0.0000, 0.0000, 7.4650]], "species": ["Ag", "Ag", "Ag", "Ag", "Ag", "F", "F", "Se", "Se", "Se", "Se", "P"], "frac_coords": [[0.3467, 0.0000, 0.5000], [0.6741, 0.5929, 0.2511], [0.0812, 0.4071, 0.7489], [0.6741, 0.5929, 0.7489], [0.0812, 0.4071, 0.2511], [0.2876, 0.3417, 0.5000], [0.9459, 0.6583, 0.5000], [0.6725, 0.0000, 0.7435], [0.6725, 0.0000, 0.2565], [0.4005, 0.3087, 0.0000], [0.0918, 0.6913, 0.0000], [0.4774, 0.0000, 0.0000]], "sg": "Amm2", "formation_energy_uncorrected_ev_per_atom": -0.42, "m_tot_mub_per_fu": 0.00, "total_energy_ev_per_atom": -3.531}

{"formula": "SrAg2PF", "functional": "GGA-PBE", "state": "optimized geometry", "lattice": [[-2.3262, 3.9382, 0.7722], [-2.8796, -0.6432, -5.3944], [-3.3744, -2.4025, 2.0878]], "species": ["Ag", "Ag", "F", "Sr", "P"], "frac_coords": [[0.5000, 0.0000, 0.0000], [0.0000, 0.0000, 0.5000], [0.5000, 0.5000, 0.5000], [0.0000, 0.5000, 0.0000], [0.0000, 0.0000, 0.0000]], "sg": "P4/mmm", "formation_energy_uncorrected_ev_per_atom": -0.92, "m_tot_mub_per_fu": 0.00, "total_energy_ev_per_atom": -3.854}

{"formula": "PaAgF6", "functional": "GGA-PBE", "state": "optimized geometry", "lattice": [[-4.3889, 3.4831, 3.2644], [-4.8110, -2.9870, 3.1597], [-0.0489, -0.1018, 6.4837]], "species": ["F", "F", "F", "F", "F", "F", "Pa", "Ag"], "frac_coords": [[0.7307, 0.2693, 0.7307], [0.7307, 0.7307, 0.2693], [0.7307, 0.2693, 0.2693], [0.2693, 0.7307, 0.2693], [0.2693, 0.7307, 0.7307], [0.2693, 0.2693, 0.7307], [0.5000, 0.5000, 0.5000], [0.0000, 0.0000, 0.0000]], "sg": "Fm-3m", "formation_energy_uncorrected_ev_per_atom": -3.14, "m_tot_mub_per_fu": 0.12, "total_energy_ev_per_atom": -6.089}

{"formula": "PaAgF5", "functional": "GGA-PBE", "state": "optimized geometry", "lattice": [[-1.9182, 5.0568, 3.3683], [-6.0207, -2.0513, 0.3747], [-0.3797, -2.7114, 6.9584]], "species": ["Pa", "Pa", "F", "F", "F", "F", "F", "F", "F", "F", "F", "F", "Ag", "Ag"], "frac_coords": [[0.4256, 0.5744, 0.2500], [0.5744, 0.4256, 0.7500], [0.8078, 0.6782, 0.6588], [0.3550, 0.6320, 0.9484], [0.3680, 0.6450, 0.5516], [0.6782, 0.8078, 0.1588], [0.1922, 0.3218, 0.3412], [0.1715, 0.8285, 0.2500], [0.6320, 0.3550, 0.4484], [0.8285, 0.1715, 0.7500], [0.3218, 0.1922, 0.8412], [0.6450, 0.3680, 0.0516], [0.0000, 0.0000, 0.5000], [0.0000, 0.0000, 0.0000]], "sg": "C2/c", "formation_energy_uncorrected_ev_per_atom": -3.00, "m_tot_mub_per_fu": 0.97, "total_energy_ev_per_atom": -6.098}

{"formula": "Pa2AgF11", "functional": "GGA-PBE", "state": "optimized geometry", "lattice": [[-5.7705, -5.9723, 2.5087], [2.6435, -8.4944, 0.8587], [-0.5825, -2.0967, 8.6686]], "species": ["F", "F", "F", "F", "F", "F", "F", "F", "F", "F", "F", "F", "F", "F", "F", "F", "F", "F", "F", "F", "F", "F", "Ag", "Ag", "Pa", "Pa", "Pa", "Pa"], "frac_coords": [[0.0000, 0.0000, 0.0000], [0.8764, 0.4508, 0.2867], [0.6348, 0.2844, 0.7156], [0.1348, 0.2156, 0.7844], [0.7218, 0.6841, 0.0509], [0.3764, 0.7867, 0.9508], [0.8652, 0.7844, 0.2156], [0.2218, 0.5509, 0.1841], [0.5000, 0.5000, 0.5000], [0.3861, 0.2867, 0.4508], [0.4569, 0.9491, 0.3159], [0.2782, 0.3159, 0.9491], [0.8861, 0.9508, 0.7867], [0.5431, 0.0509, 0.6841], [0.6236, 0.2133, 0.0492], [0.7782, 0.4491, 0.8159], [0.0431, 0.1841, 0.5509], [0.6139, 0.7133, 0.5492], [0.1139, 0.0492, 0.2133], [0.3652, 0.7156, 0.2844], [0.1236, 0.5492, 0.7133], [0.9569, 0.8159, 0.4491], [0.7500, 0.7500, 0.7500], [0.2500, 0.2500, 0.2500], [0.1386, 0.8141, 0.1859], [0.6386, 0.6859, 0.3141], [0.8614, 0.1859, 0.8141], [0.3614, 0.3141, 0.6859]], "sg": "Ibam", "formation_energy_uncorrected_ev_per_atom": -3.41, "m_tot_mub_per_fu": 0.20, "total_energy_ev_per_atom": -6.444}

{"formula": "PaAg2F6", "functional": "GGA-PBE", "state": "optimized geometry", "lattice": [[6.3496, 0.0000, -1.5436], [0.0000, 3.9947, 0.0000], [0.1774, 0.0000, 13.6608]], "species": ["F", "F", "F", "F", "F", "F", "F", "F", "F", "F", "F", "F", "Pa", "Pa", "Ag", "Ag", "Ag", "Ag"], "frac_coords": [[0.4852, 0.9998, 0.0867], [0.7788, 0.5003, 0.9475], [0.7212, 0.0003, 0.5525], [0.7384, 0.4998, 0.1372], [0.2788, 0.9997, 0.4475], [0.7616, 0.9998, 0.3628], [0.0148, 0.4998, 0.4133], [0.5148, 0.0002, 0.9133], [0.2616, 0.5002, 0.8628], [0.2384, 0.0002, 0.6372], [0.2212, 0.4997, 0.0525], [0.9852, 0.5002, 0.5867], [0.0000, 0.0000, 0.5000], [0.5000, 0.5000, 0.0000], [0.5983, 0.0141, 0.7197], [0.4017, 0.9859, 0.2803], [0.0983, 0.4859, 0.2197], [0.9017, 0.5141, 0.7803]], "sg": "P2_1/c", "formation_energy_uncorrected_ev_per_atom": -2.61, "m_tot_mub_per_fu": 0.00, "total_energy_ev_per_atom": -5.545}

{"formula": "PaAg2F11", "functional": "GGA-PBE", "state": "optimized geometry", "lattice": [[7.8660, 0.0000, 4.1000], [3.3948, 7.0979, 3.0826], [0.6161, 0.4890, 8.4136]], "species": ["Pa", "Pa", "F", "F", "F", "F", "F", "F", "F", "F", "F", "F", "F", "F", "F", "F", "F", "F", "F", "F", "F", "F", "F", "F", "Ag", "Ag", "Ag", "Ag"], "frac_coords": [[0.2500, 0.2500, 0.2500], [0.7500, 0.7500, 0.7500], [0.0541, 0.5789, 0.7089], [0.9459, 0.4211, 0.2911], [0.5541, 0.2089, 0.0789], [0.6802, 0.3201, 0.6799], [0.1802, 0.1799, 0.8201], [0.8198, 0.8201, 0.1799], [0.0000, 0.0000, 0.0000], [0.3198, 0.6799, 0.3201], [0.8419, 0.9211, 0.7911], [0.6581, 0.7089, 0.5789], [0.2083, 0.5527, 0.1602], [0.1581, 0.0789, 0.2089], [0.4459, 0.7911, 0.9211], [0.0788, 0.1602, 0.5527], [0.9212, 0.8398, 0.4473], [0.5000, 0.5000, 0.5000], [0.5788, 0.0527, 0.6602], [0.7083, 0.6602, 0.0527], [0.7917, 0.4473, 0.8398], [0.2917, 0.3398, 0.9473], [0.4212, 0.9473, 0.3398], [0.3419, 0.2911, 0.4211], [0.3343, 0.3336, 0.6664], [0.1657, 0.8336, 0.1664], [0.6657, 0.6664, 0.3336], [0.8343, 0.1664, 0.8336]], "sg": "Ibam", "formation_energy_uncorrected_ev_per_atom": -2.09, "m_tot_mub_per_fu": 0.40, "total_energy_ev_per_atom": -4.646}

{"formula": "Pa2AgF8", "functional": "GGA-PBE", "state": "optimized geometry", "lattice": [[4.6313, 0.0039, 0.0029], [0.0435, 6.7187, 0.5565], [0.0435, 2.3451, 6.3207]], "species": ["F", "F", "F", "F", "F", "F", "F", "F", "Pa", "Pa", "Ag"], "frac_coords": [[0.5054, 0.6626, 0.0436], [0.7495, 0.5005, 0.5005], [0.9970, 0.7178, 0.7178], [0.2505, 0.4995, 0.4995], [0.5054, 0.0436, 0.6626], [0.4946, 0.9564, 0.3374], [0.0030, 0.2822, 0.2822], [0.4946, 0.3374, 0.9564], [0.5069, 0.3245, 0.3245], [0.4931, 0.6755, 0.6755], [0.0000, 0.0000, 0.0000]], "sg": "C2/m", "formation_energy_uncorrected_ev_per_atom": -3.18, "m_tot_mub_per_fu": 2.31, "total_energy_ev_per_atom": -6.525}

{"formula": "RbPaAg2F8", "functional": "GGA-PBE", "state": "optimized geometry", "lattice": [[-1.0600, -0.4280, 5.0100], [0.3238, -4.5775, 2.3129], [8.8635, 0.0226, 4.5126]], "species": ["F", "F", "F", "F", "F", "F", "F", "F", "Ag", "Ag", "Pa", "Rb"], "frac_coords": [[0.3528, 0.3528, 0.9417], [0.1244, 0.7699, 0.6402], [0.7699, 0.4655, 0.6402], [0.5345, 0.2301, 0.3598], [0.4655, 0.1244, 0.6402], [0.6472, 0.6472, 0.0583], [0.8756, 0.5345, 0.3598], [0.2301, 0.8756, 0.3598], [0.2766, 0.2766, 0.1702], [0.7234, 0.7234, 0.8298], [0.5000, 0.5000, 0.5000], [0.0000, 0.0000, 0.0000]], "sg": "R32", "formation_energy_uncorrected_ev_per_atom": -2.58, "m_tot_mub_per_fu": 0.00, "total_energy_ev_per_atom": -5.179}

{"formula": "PaTlAgF6", "functional": "GGA-PBE", "state": "optimized geometry", "lattice": [[6.4304, 0.0000, 0.0000], [-3.2152, 5.5689, 0.0000], [0.0000, 0.0000, 10.9467]], "species": ["F", "F", "F", "F", "F", "F", "F", "F", "F", "F", "F", "F", "Pa", "Pa", "Ag", "Ag", "Tl", "Tl"], "frac_coords": [[0.6153, 0.9633, 0.8595], [0.9633, 0.6153, 0.3595], [0.0367, 0.6520, 0.8595], [0.6520, 0.6153, 0.1405], [0.6153, 0.6520, 0.6405], [0.3847, 0.3480, 0.3595], [0.0367, 0.3847, 0.6405], [0.9633, 0.3480, 0.1405], [0.6520, 0.0367, 0.3595], [0.3480, 0.9633, 0.6405], [0.3480, 0.3847, 0.8595], [0.3847, 0.0367, 0.1405], [0.3333, 0.6667, 0.7500], [0.6667, 0.3333, 0.2500], [0.3333, 0.6667, 0.2500], [0.6667, 0.3333, 0.7500], [0.0000, 0.0000, 0.0000], [0.0000, 0.0000, 0.5000]], "sg": "P-31c", "formation_energy_uncorrected_ev_per_atom": -2.75, "m_tot_mub_per_fu": 1.01, "total_energy_ev_per_atom": -5.628}

{"formula": "Ag3PbF12", "functional": "GGA-PBE", "state": "optimized geometry", "lattice": [[-2.8372, -7.2888, 7.8667], [7.8360, -5.9042, 5.1770], [2.1100, -0.5105, 8.1096]], "species": ["F", "F", "F", "F", "F", "F", "F", "F", "F", "F", "F", "F", "F", "F", "F", "F", "F", "F", "F", "F", "F", "F", "F", "F", "Ag", "Ag", "Ag", "Ag", "Ag", "Ag", "Pb", "Pb"], "frac_coords": [[0.4757, 0.4674, 0.0356], [0.6420, 0.1974, 0.9723], [0.6901, 0.3923, 0.4834], [0.9674, 0.9757, 0.5356], [0.3923, 0.4342, 0.4834], [0.4738, 0.7714, 0.0245], [0.1901, 0.9341, 0.9834], [0.1883, 0.6420, 0.9723], [0.7714, 0.7304, 0.0244], [0.8923, 0.1901, 0.9834], [0.6883, 0.6974, 0.4723], [0.2714, 0.9738, 0.5245], [0.1420, 0.6883, 0.4723], [0.6974, 0.1420, 0.4723], [0.1974, 0.1883, 0.9723], [0.9342, 0.8923, 0.9834], [0.7304, 0.4737, 0.0244], [0.0213, 0.4757, 0.0356], [0.9738, 0.2304, 0.5244], [0.2304, 0.2714, 0.5244], [0.9757, 0.5213, 0.5356], [0.5213, 0.9675, 0.5356], [0.4341, 0.6901, 0.4834], [0.4675, 0.0213, 0.0356], [0.9842, 0.6797, 0.0038], [0.4842, 0.8322, 0.5038], [0.6797, 0.3322, 0.0038], [0.8322, 0.1797, 0.5038], [0.1797, 0.4842, 0.5038], [0.3322, 0.9842, 0.0038], [0.0821, 0.0821, 0.7538], [0.5821, 0.5821, 0.2538]], "sg": "R-3c", "formation_energy_uncorrected_ev_per_atom": -1.22, "m_tot_mub_per_fu": 0.00, "total_energy_ev_per_atom": -3.390}

{"formula": "Ag3PbF", "functional": "GGA-PBE", "state": "optimized geometry", "lattice": [[-2.4026, 0.2218, 4.0558], [-1.7102, -4.3293, -0.7764], [3.6842, -1.8651, 2.2845]], "species": ["Ag", "Ag", "Ag", "F", "Pb"], "frac_coords": [[0.5000, 0.0000, 0.0000], [0.0000, 0.5000, 0.0000], [0.0000, 0.0000, 0.5000], [0.0000, 0.0000, 0.0000], [0.5000, 0.5000, 0.5000]], "sg": "Pm-3m", "formation_energy_uncorrected_ev_per_atom": -0.13, "polymorph_energy_mev_per_atom": 0, "m_tot_mub_per_fu": 0.00, "total_energy_ev_per_atom": -2.952}

{"formula": "Ag2PbF6", "functional": "GGA-PBE", "state": "optimized geometry", "lattice": [[6.2463, 0.0000, -0.2934], [0.0000, 5.6368, 0.0000], [0.4417, 0.0000, 9.9672]], "species": ["Ag", "Ag", "Ag", "Ag", "F", "F", "F", "F", "F", "F", "F", "F", "F", "F", "F", "F", "Pb", "Pb"], "frac_coords": [[0.5009, 0.9977, 0.6915], [0.4991, 0.0023, 0.3085], [0.9991, 0.4977, 0.8085], [0.0009, 0.5023, 0.1915], [0.8682, 0.7819, 0.3456], [0.1972, 0.3226, 0.0014], [0.3028, 0.8226, 0.4986], [0.3682, 0.7181, 0.8456], [0.8028, 0.6774, 0.9986], [0.6305, 0.2770, 0.8479], [0.1305, 0.2230, 0.3479], [0.1318, 0.2181, 0.6544], [0.6318, 0.2819, 0.1544], [0.3695, 0.7230, 0.1521], [0.8695, 0.7770, 0.6521], [0.6972, 0.1774, 0.5014], [0.5000, 0.5000, 0.0000], [0.0000, 0.0000, 0.5000]], "sg": "P2_1/c", "formation_energy_uncorrected_ev_per_atom": -1.55, "polymorph_energy_mev_per_atom": 0, "m_tot_mub_per_fu": 0.00, "total_energy_ev_per_atom": -3.847}

{"formula": "AgPbF4", "functional": "GGA-PBE", "state": "optimized geometry", "lattice": [[5.2536, 0.0000, -2.6864], [-1.3737, 5.0708, -2.6864], [0.3005, 0.3927, 7.0679]], "species": ["Pb", "Pb", "Ag", "Ag", "F", "F", "F", "F", "F", "F", "F", "F"], "frac_coords": [[0.2500, 0.2500, 0.5000], [0.7500, 0.7500, 0.5000], [0.5000, 0.0000, 0.0000], [0.0000, 0.5000, 0.0000], [0.1851, 0.0572, 0.7423], [0.9428, 0.4428, 0.2577], [0.0572, 0.5572, 0.7423], [0.6851, 0.1851, 0.7423], [0.3149, 0.8149, 0.2577], [0.5572, 0.6851, 0.7423], [0.8149, 0.9428, 0.2577], [0.4428, 0.3149, 0.2577]], "sg": "I4/mcm", "formation_energy_uncorrected_ev_per_atom": -1.79, "polymorph_energy_mev_per_atom": 0, "m_tot_mub_per_fu": 1.00, "total_energy_ev_per_atom": -4.130}

{"formula": "Ag3PbF8", "functional": "GGA-PBE", "state": "optimized geometry", "lattice": [[-2.5408, 3.9859, -4.2581], [2.1343, -5.8836, -1.1414], [-6.4361, -2.6064, 1.4006]], "species": ["F", "F", "F", "F", "F", "F", "F", "F", "Ag", "Ag", "Ag", "Pb"], "frac_coords": [[0.2323, 0.2702, 0.2839], [0.7298, 0.7677, 0.7161], [0.6902, 0.3098, 0.5000], [0.3086, 0.6914, 0.0000], [0.6914, 0.3086, 0.0000], [0.2702, 0.2323, 0.7161], [0.7677, 0.7298, 0.2839], [0.3098, 0.6902, 0.5000], [0.0000, 0.5000, 0.2351], [0.5000, 0.0000, 0.7649], [0.5000, 0.5000, 0.0000], [0.5000, 0.5000, 0.5000]], "sg": "C222", "formation_energy_uncorrected_ev_per_atom": -1.42, "polymorph_energy_mev_per_atom": 0, "m_tot_mub_per_fu": 0.75, "total_energy_ev_per_atom": -3.688}

{"formula": "Ag2PbF", "functional": "GGA-PBE", "state": "optimized geometry", "lattice": [[-0.9066, 2.2374, -2.1678], [-2.7306, 1.6912, 0.4593], [3.4853, 7.6503, 4.0103]], "species": ["Ag", "Ag", "F", "Pb"], "frac_coords": [[0.8953, 0.8953, 0.3140], [0.1047, 0.1047, 0.6860], [0.5000, 0.5000, 0.5000], [0.0000, 0.0000, 0.0000]], "sg": "R-3m", "formation_energy_uncorrected_ev_per_atom": -0.36, "polymorph_energy_mev_per_atom": 115, "m_tot_mub_per_fu": 0.00, "total_energy_ev_per_atom": -3.179}

{"formula": "Ag6PbF8", "functional": "GGA-PBE", "state": "optimized geometry", "lattice": [[-5.5908, -2.3603, 1.9586], [2.6204, -5.4362, -2.0605], [2.8973, 0.3240, 5.6714]], "species": ["F", "F", "F", "F", "F", "F", "F", "F", "Ag", "Ag", "Ag", "Ag", "Ag", "Ag", "Pb"], "frac_coords": [[0.6810, 0.8573, 0.1681], [0.7202, 0.7202, 0.7202], [0.8573, 0.1681, 0.6810], [0.8319, 0.3190, 0.1427], [0.3190, 0.1427, 0.8319], [0.1427, 0.8319, 0.3190], [0.1681, 0.6810, 0.8573], [0.2798, 0.2798, 0.2798], [0.6112, 0.4020, 0.8358], [0.1642, 0.3888, 0.5980], [0.5980, 0.1642, 0.3888], [0.4020, 0.8358, 0.6112], [0.3888, 0.5980, 0.1642], [0.8358, 0.6112, 0.4020], [0.0000, 0.0000, 0.0000]], "sg": "R-3", "formation_energy_uncorrected_ev_per_atom": -1.23, "m_tot_mub_per_fu": 0.00, "total_energy_ev_per_atom": -3.618}